Record 1
TaSeS | GGA-PBE | relaxed

- formation energy from raw total energies (eV/atom) = -0.908
- calculated volume (Å³/cell) = 68.6

Cell lengths 3.4381, 3.4381, 6.6968 Å; angles 90.00, 90.00, 120.00 degrees
Space group P3m1 (No. 156)
One atom of each set of equivalent atoms:
Ta: 0.0000 0.0000 0.0000
Se: 0.6667 0.3333 0.7460
S: 0.3333 0.6667 0.2228

Record 2
Ta2TcSe4S2 | GGA-PBE | relaxed

- formation energy from raw total energies (eV/atom) = -0.666
- calculated volume (Å³/cell) = 211.2

Cell lengths 3.4100, 3.4100, 20.9702 Å; angles 90.00, 90.00, 120.00 degrees
Space group P3m1 (No. 156)
One atom of each set of equivalent atoms:
Ta: 0.0000 0.0000 0.0000
Ta: 0.3333 0.6667 0.3360
Tc: 0.3333 0.6667 0.6824
Se: 0.0000 0.0000 0.2550
Se: 0.0000 0.0000 0.4171
Se: 0.3333 0.6667 0.0810
Se: 0.3333 0.6667 0.9190
S: 0.0000 0.0000 0.6151
S: 0.0000 0.0000 0.7499

Record 3
TaTeSe2S | GGA-PBE | relaxed

- formation energy from raw total energies (eV/atom) = 0.257
- calculated volume (Å³/cell) = 135.0

Cell lengths 4.8564, 4.8564, 5.7262 Å; angles 90.00, 90.00, 90.00 degrees
Space group P4/mmm (No. 123)
One atom of each set of equivalent atoms:
Ta: 0.0000 0.0000 0.0000
Te: 0.0000 0.0000 0.5000
Se: 0.0000 0.5000 0.0000
S: 0.5000 0.5000 0.5000

Record 4
Ta4Te2SeS | GGA-PBE | relaxed

- formation energy from raw total energies (eV/atom) = -0.169
- calculated volume (Å³/cell) = 173.3

Cell lengths 4.7313, 5.6016, 6.5521 Å; angles 87.84, 87.31, 88.39 degrees
Space group P1 (No. 1)
One atom of each set of equivalent atoms:
Ta: 0.0000 0.0000 0.0000
Ta: 0.0340 0.4931 0.7824
Ta: 0.2687 0.0165 0.6152
Ta: 0.5002 0.5135 0.5364
Te: 0.4672 0.2063 0.2075
Te: 0.5089 0.7201 0.9226
Se: 0.0179 0.7040 0.4008
S: 0.7726 0.1512 0.6823

Record 5
TaTiSe3S | GGA-PBE | relaxed

- formation energy from raw total energies (eV/atom) = -0.889
- calculated volume (Å³/cell) = 581.7

Cell lengths 3.4986, 16.0359, 10.3685 Å; angles 90.00, 90.00, 90.00 degrees
Space group Cmcm (No. 63)
One atom of each set of equivalent atoms:
Ta: 0.0000 0.0000 0.0000
Ti: 0.0000 0.3834 0.2500
Se: 0.0000 0.0116 0.2500
Se: 0.0000 0.3802 0.5020
S: 0.0000 0.2103 0.7500

Record 6
Ta2TiSe2S4 | GGA-PBE | relaxed

- formation energy from raw total energies (eV/atom) = -1.023
- calculated volume (Å³/cell) = 210.0

Cell lengths 3.3810, 3.3810, 21.2162 Å; angles 90.00, 90.00, 120.00 degrees
Space group P3m1 (No. 156)
One atom of each set of equivalent atoms:
Ta: 0.0000 0.0000 0.0000
Ta: 0.3333 0.6667 0.3225
Ti: 0.3333 0.6667 0.6710
Se: 0.0000 0.0000 0.5931
Se: 0.0000 0.0000 0.7488
S: 0.0000 0.0000 0.2493
S: 0.0000 0.0000 0.3956
S: 0.3333 0.6667 0.0731
S: 0.3333 0.6667 0.9269